Arrangement one

Material: TlHgBr
Method: DFT, GGA-PBE
State: optimized geometry

Geometry as CIF:
```
data_TlHgBr
_chemical_formula_sum 'Tl4 Hg4 Br4'
_cell_length_a 7.724
_cell_length_b 7.724
_cell_length_c 7.724
_cell_angle_alpha 90.00
_cell_angle_beta 90.00
_cell_angle_gamma 90.00
_space_group_name_H-M_alt 'P 1'
_space_group_IT_number 1
_space_group_name_Hall 'P 1'
loop_
_atom_site_label
_atom_site_type_symbol
_atom_site_fract_x
_atom_site_fract_y
_atom_site_fract_z
Tl1 Tl 0.000 0.000 0.000
Tl2 Tl 0.000 0.500 0.500
Tl3 Tl 0.500 0.000 0.500
Tl4 Tl 0.500 0.500 0.000
Hg1 Hg 0.250 0.250 0.750
Hg2 Hg 0.250 0.750 0.250
Hg3 Hg 0.750 0.250 0.250
Hg4 Hg 0.750 0.750 0.750
Br1 Br 0.250 0.250 0.250
Br2 Br 0.250 0.750 0.750
Br3 Br 0.750 0.250 0.750
Br4 Br 0.750 0.750 0.250
```

space group = F-43m, No. 216


Arrangement two

Material: TlHgBr
Method: DFT, GGA-PBE
State: optimized geometry

Geometry as CIF:
```
data_TlHgBr
_chemical_formula_sum 'Tl2 Hg2 Br2'
_cell_length_a 4.736
_cell_length_b 4.712
_cell_length_c 9.316
_cell_angle_alpha 90.00
_cell_angle_beta 90.40
_cell_angle_gamma 90.00
_space_group_name_H-M_alt 'P 1'
_space_group_IT_number 1
_space_group_name_Hall 'P 1'
loop_
_atom_site_label
_atom_site_type_symbol
_atom_site_fract_x
_atom_site_fract_y
_atom_site_fract_z
Tl1 Tl 0.246 0.250 0.314
Tl2 Tl 0.754 0.750 0.686
Hg1 Hg 0.251 0.750 0.000
Hg2 Hg 0.749 0.250 0.000
Br1 Br 0.253 0.250 0.652
Br2 Br 0.747 0.750 0.348
```

space group = P2_1/m, No. 11


We find arrangement two to be the most stable, with the next structure 56 meV per atom higher.


Arrangement one

Material: Tl3HgBr
Method: DFT, GGA-PBE
State: optimized geometry

Geometry as CIF:
```
data_Tl3HgBr
_chemical_formula_sum 'Tl3 Hg1 Br1'
_cell_length_a 6.135
_cell_length_b 6.135
_cell_length_c 6.135
_cell_angle_alpha 90.00
_cell_angle_beta 90.00
_cell_angle_gamma 90.00
_space_group_name_H-M_alt 'P 1'
_space_group_IT_number 1
_space_group_name_Hall 'P 1'
loop_
_atom_site_label
_atom_site_type_symbol
_atom_site_fract_x
_atom_site_fract_y
_atom_site_fract_z
Tl1 Tl 0.000 0.000 0.500
Tl2 Tl 0.000 0.500 0.000
Tl3 Tl 0.500 0.000 0.000
Hg1 Hg 0.500 0.500 0.500
Br1 Br 0.000 0.000 0.000
```

space group = Pm-3m, No. 221


Arrangement two

Material: Tl3HgBr
Method: DFT, GGA-PBE
State: optimized geometry

Geometry as CIF:
```
data_Tl3HgBr
_chemical_formula_sum 'Tl3 Hg1 Br1'
_cell_length_a 5.874
_cell_length_b 5.874
_cell_length_c 5.874
_cell_angle_alpha 90.00
_cell_angle_beta 90.00
_cell_angle_gamma 90.00
_space_group_name_H-M_alt 'P 1'
_space_group_IT_number 1
_space_group_name_Hall 'P 1'
loop_
_atom_site_label
_atom_site_type_symbol
_atom_site_fract_x
_atom_site_fract_y
_atom_site_fract_z
Tl1 Tl 0.000 0.000 0.500
Tl2 Tl 0.000 0.500 0.000
Tl3 Tl 0.500 0.000 0.000
Hg1 Hg 0.000 0.000 0.000
Br1 Br 0.500 0.500 0.500
```

space group = Pm-3m, No. 221


We find arrangement two to be the most stable, with the next structure 61 meV per atom higher.


Arrangement one

Material: TlHg3Br
Method: DFT, GGA-PBE
State: optimized geometry

Geometry as CIF:
```
data_TlHg3Br
_chemical_formula_sum 'Tl1 Hg3 Br1'
_cell_length_a 5.895
_cell_length_b 5.895
_cell_length_c 5.895
_cell_angle_alpha 90.00
_cell_angle_beta 90.00
_cell_angle_gamma 90.00
_space_group_name_H-M_alt 'P 1'
_space_group_IT_number 1
_space_group_name_Hall 'P 1'
loop_
_atom_site_label
_atom_site_type_symbol
_atom_site_fract_x
_atom_site_fract_y
_atom_site_fract_z
Tl1 Tl 0.000 0.000 0.000
Hg1 Hg 0.000 0.000 0.500
Hg2 Hg 0.000 0.500 0.000
Hg3 Hg 0.500 0.000 0.000
Br1 Br 0.500 0.500 0.500
```

space group = Pm-3m, No. 221


Arrangement two

Material: TlHg3Br
Method: DFT, GGA-PBE
State: optimized geometry

Geometry as CIF:
```
data_TlHg3Br
_chemical_formula_sum 'Tl1 Hg3 Br1'
_cell_length_a 6.340
_cell_length_b 6.340
_cell_length_c 6.340
_cell_angle_alpha 90.00
_cell_angle_beta 90.00
_cell_angle_gamma 90.00
_space_group_name_H-M_alt 'P 1'
_space_group_IT_number 1
_space_group_name_Hall 'P 1'
loop_
_atom_site_label
_atom_site_type_symbol
_atom_site_fract_x
_atom_site_fract_y
_atom_site_fract_z
Tl1 Tl 0.000 0.000 0.000
Hg1 Hg 0.000 0.500 0.500
Hg2 Hg 0.500 0.000 0.500
Hg3 Hg 0.500 0.500 0.000
Br1 Br 0.500 0.500 0.500
```

space group = Pm-3m, No. 221


We find arrangement one to be the most stable, with the next structure 197 meV per atom higher.